# 1
Nd3YN4: relaxed, PBE-GGA.

a b c (Å): 6.254 7.227 6.253
angles (deg): 90.00 109.46 90.00
Positions (direct):
Nd 0.000 0.124 0.250
Nd 0.000 0.372 0.750
Nd 0.000 0.628 0.250
Nd 0.000 0.876 0.750
Nd 0.500 0.372 0.250
Nd 0.500 0.628 0.750
Y 0.500 0.125 0.750
Y 0.500 0.875 0.250
N 0.253 0.367 0.505
N 0.253 0.633 0.005
N 0.257 0.124 0.998
N 0.257 0.876 0.498
N 0.743 0.124 0.502
N 0.743 0.876 0.002
N 0.747 0.367 0.995
N 0.747 0.633 0.495

uncorrected energy	-130.95	eV for the cell shown
D(E_F)	0.099	states/eV per atom
formation energy (no corrections)	-11.41	eV per formula unit

# 2
NdY2N: relaxed, PBE-GGA.

a b c (Å): 9.850 9.850 9.850
angles (deg): 20.33 20.33 20.33
Positions (direct):
Nd 0.000 0.000 0.000
Y 0.121 0.121 0.121
Y 0.879 0.879 0.879
N 0.500 0.500 0.500

uncorrected energy	-28.80	eV for the cell shown
D(E_F)	1.257	states/eV per atom
formation energy (no corrections)	-2.78	eV per formula unit

# 3
Nd3Y2N4: relaxed, PBE-GGA.

a b c (Å): 3.571 3.571 14.986
angles (deg): 90.06 90.06 60.01
Positions (direct):
Nd 0.000 0.000 0.000
Nd 0.334 0.334 0.380
Nd 0.666 0.666 0.620
Y 0.333 0.333 0.810
Y 0.667 0.667 0.190
N 0.001 0.001 0.293
N 0.334 0.334 0.104
N 0.666 0.666 0.896
N 0.999 0.999 0.707

uncorrected energy	-72.42	eV for the cell shown
D(E_F)	0.507	states/eV per atom
formation energy (no corrections)	-11.88	eV per formula unit

# 4
Nd2YN3: relaxed, PBE-GGA.

a b c (Å): 8.046 8.046 8.046
angles (deg): 154.13 154.13 36.91
Positions (direct):
Nd 0.164 0.164 0.000
Nd 0.836 0.836 0.000
Y 0.500 0.500 0.000
N 0.000 0.000 0.000
N 0.339 0.339 0.000
N 0.661 0.661 0.000

uncorrected energy	-49.65	eV for the cell shown
D(E_F)	0.116	states/eV per atom
formation energy (no corrections)	-8.68	eV per formula unit

# 5
NdY3N4: relaxed, PBE-GGA.

a b c (Å): 6.103 7.054 6.102
angles (deg): 90.00 109.46 90.00
Positions (direct):
Nd 0.000 0.127 0.250
Nd 0.000 0.873 0.750
Y 0.000 0.377 0.750
Y 0.000 0.623 0.250
Y 0.500 0.128 0.750
Y 0.500 0.376 0.250
Y 0.500 0.624 0.750
Y 0.500 0.872 0.250
N 0.252 0.379 0.505
N 0.252 0.621 0.005
N 0.258 0.130 0.998
N 0.258 0.870 0.498
N 0.742 0.130 0.502
N 0.742 0.870 0.002
N 0.748 0.379 0.995
N 0.748 0.621 0.495

uncorrected energy	-140.40	eV for the cell shown
D(E_F)	0.047	states/eV per atom
formation energy (no corrections)	-12.74	eV per formula unit

# 6
Nd5YN6: relaxed, PBE-GGA.

a b c (Å): 6.280 6.280 6.278
angles (deg): 99.59 99.59 120.00
Positions (direct):
Nd 0.000 0.000 0.000
Nd 0.167 0.833 0.500
Nd 0.334 0.666 0.000
Nd 0.666 0.334 0.000
Nd 0.833 0.167 0.500
Y 0.500 0.500 0.500
N 0.091 0.418 0.254
N 0.255 0.255 0.747
N 0.418 0.091 0.254
N 0.582 0.909 0.746
N 0.745 0.745 0.253
N 0.909 0.582 0.746

uncorrected energy	-97.10	eV for the cell shown
D(E_F)	0.056	states/eV per atom
formation energy (no corrections)	-16.84	eV per formula unit

# 7
NdY3N4: relaxed, PBE-GGA.

a b c (Å): 4.988 4.988 4.988
angles (deg): 90.00 90.00 90.00
Positions (direct):
Nd 0.000 0.000 0.000
Y 0.000 0.500 0.500
Y 0.500 0.000 0.500
Y 0.500 0.500 0.000
N 0.000 0.000 0.500
N 0.000 0.500 0.000
N 0.500 0.000 0.000
N 0.500 0.500 0.500

uncorrected energy	-70.10	eV for the cell shown
D(E_F)	0.101	states/eV per atom
formation energy (no corrections)	-12.64	eV per formula unit

# 8
Nd4Y2N: relaxed, PBE-GGA.

a b c (Å): 9.566 9.566 9.566
angles (deg): 149.59 149.59 43.54
Positions (direct):
Nd 0.000 0.500 0.500
Nd 0.135 0.135 0.000
Nd 0.500 0.000 0.500
Nd 0.865 0.865 0.000
Y 0.336 0.336 0.000
Y 0.664 0.664 0.000
N 0.000 0.000 0.000

uncorrected energy	-41.64	eV for the cell shown
D(E_F)	1.354	states/eV per atom
formation energy (no corrections)	-1.31	eV per formula unit

# 9
Nd3YN4: relaxed, PBE-GGA.

a b c (Å): 5.111 5.111 5.111
angles (deg): 90.00 90.00 90.00
Positions (direct):
Nd 0.000 0.000 0.500
Nd 0.000 0.500 0.000
Nd 0.500 0.000 0.000
Y 0.500 0.500 0.500
N 0.000 0.000 0.000
N 0.000 0.500 0.500
N 0.500 0.000 0.500
N 0.500 0.500 0.000

uncorrected energy	-65.39	eV for the cell shown
D(E_F)	0.222	states/eV per atom
formation energy (no corrections)	-11.33	eV per formula unit

# 10
Nd5YN4: relaxed, PBE-GGA.

a b c (Å): 8.101 8.101 7.445
angles (deg): 102.65 102.65 25.64
Positions (direct):
Nd 0.000 0.000 0.000
Nd 0.337 0.337 0.652
Nd 0.343 0.343 0.195
Nd 0.657 0.657 0.805
Nd 0.663 0.663 0.348
Y 0.000 0.000 0.500
N 0.162 0.162 0.580
N 0.499 0.499 0.261
N 0.501 0.501 0.739
N 0.838 0.838 0.420

uncorrected energy	-74.75	eV for the cell shown
D(E_F)	0.479	states/eV per atom
formation energy (no corrections)	-11.15	eV per formula unit

# 11
NdY2N: relaxed, PBE-GGA.

a b c (Å): 3.189 3.189 9.003
angles (deg): 90.00 90.00 90.00
Positions (direct):
Nd 0.000 0.000 0.000
Y 0.500 0.500 0.342
Y 0.500 0.500 0.658
N 0.000 0.000 0.500

uncorrected energy	-26.73	eV for the cell shown
D(E_F)	1.187	states/eV per atom
formation energy (no corrections)	-0.71	eV per formula unit

# 12
Nd2Y3N4: relaxed, PBE-GGA.

a b c (Å): 6.154 6.154 8.794
angles (deg): 117.57 117.57 33.32
Positions (direct):
Nd 0.104 0.104 0.386
Nd 0.896 0.896 0.614
Y 0.291 0.291 0.183
Y 0.500 0.500 0.000
Y 0.709 0.709 0.817
N 0.105 0.105 0.907
N 0.302 0.302 0.708
N 0.698 0.698 0.292
N 0.895 0.895 0.093

uncorrected energy	-74.61	eV for the cell shown
D(E_F)	0.501	states/eV per atom
formation energy (no corrections)	-12.38	eV per formula unit